A geometry-optimized ScBiP2S structure, computed with GGA-PBE.

Formation energy without anion corrections = 0.085 eV per atom
ΔE to the lowest computed polymorph = 0.0000 eV per atom
Space-group type = P4/mmm

Unit cell a=5.000 b=5.000 c=4.812 alpha=90.00 beta=90.00 gamma=90.00
Atoms (fractional coordinates):
Sc 0.000 0.000 0.000
P 0.000 0.500 0.000
P 0.500 0.000 0.000
S 0.000 0.000 0.500
Bi 0.500 0.500 0.500

A geometry-optimized Sc6BiP2S3 structure, computed with GGA-PBE.

Formation energy without anion corrections = -1.521 eV per atom
Space-group type = C2/m

Unit cell a=3.787 b=7.706 c=8.523 alpha=102.64 beta=102.83 gamma=90.00
Atoms (fractional coordinates):
Sc 0.322 0.895 0.643
Sc 0.671 0.578 0.342
Sc 0.678 0.105 0.357
Sc 0.005 0.282 0.010
Sc 0.995 0.718 0.990
Sc 0.329 0.422 0.658
Bi 0.500 0.000 0.000
P 0.832 0.664 0.665
P 0.168 0.336 0.335
S 0.500 0.500 0.000
S 0.837 0.167 0.673
S 0.163 0.833 0.327

A geometry-optimized ScBiP2S structure, computed with GGA-PBE.

Formation energy without anion corrections = 0.689 eV per atom
ΔE to the lowest computed polymorph = 0.6039 eV per atom
Space-group type = P4/mmm

Unit cell a=5.134 b=5.134 c=5.150 alpha=90.00 beta=90.00 gamma=90.00
Atoms (fractional coordinates):
Sc 0.500 0.500 0.500
P 0.000 0.500 0.000
P 0.500 0.000 0.000
S 0.000 0.000 0.500
Bi 0.000 0.000 0.000

A geometry-optimized BiP2SeS structure, computed with GGA-PBE.

Formation energy without anion corrections = 1.348 eV per atom
ΔE to the lowest computed polymorph = 0.6180 eV per atom
Space-group type = P4/mmm

Unit cell a=5.405 b=5.405 c=5.023 alpha=90.00 beta=90.00 gamma=90.00
Site moments in Bohr magnetons follow the coordinates.
Atoms (fractional coordinates):
P 0.000 0.500 0.000  0.39
P 0.500 0.000 0.000  0.39
S 0.000 0.000 0.500  0.03
Bi 0.000 0.000 0.000  0.00
Se 0.500 0.500 0.500  -0.38

A geometry-optimized BiP2SeS structure, computed with GGA-PBE.

Formation energy without anion corrections = 0.730 eV per atom
ΔE to the lowest computed polymorph = 0.0000 eV per atom
Space-group type = P4/mmm

Unit cell a=4.848 b=4.848 c=4.743 alpha=90.00 beta=90.00 gamma=90.00
Atoms (fractional coordinates):
P 0.000 0.500 0.000
P 0.500 0.000 0.000
S 0.000 0.000 0.500
Bi 0.500 0.500 0.500
Se 0.000 0.000 0.000

A geometry-optimized Bi2PSeS structure, computed with GGA-PBE.

Formation energy without anion corrections = 0.876 eV per atom
Space-group type = P4/mmm

Unit cell a=5.655 b=4.555 c=5.655 alpha=90.00 beta=90.00 gamma=90.00
Atoms (fractional coordinates):
P 0.000 0.500 0.000
S 0.500 0.500 0.500
Bi 0.000 0.000 0.500
Bi 0.500 0.000 0.000
Se 0.000 0.000 0.000

Number 1: magnetic moment 0.00 μB per formula unit. Number 2: magnetic moment 0.00 μB per formula unit. Number 3: magnetic moment 0.00 μB per formula unit. Number 4: magnetic moment 1.16 μB per formula unit. Number 5: magnetic moment 0.00 μB per formula unit. Number 6: magnetic moment 0.00 μB per formula unit.